The following is a PBE calculation of crystalline TeO at its relaxed geometry, from Alexandria via LeMat-Bulk.

The calculation puts the electronic total energy at -3.74 eV per atom. Its magnetization is 0.00 μB per cell. The calculation puts the density of states at the Fermi level at 9.47 states/eV per cell. The formation energy (no corrections) is 0.308 eV/atom.

It has space group Pm-3n (No. 223), with a = 6.797 Å, b = 6.797 Å, c = 6.797 Å, α = 90.00°, β = 90.00° and γ = 90.00°. Symmetry generates all atoms from Te at (0.000, 0.250, 0.500) and O at (0.000, 0.500, 0.250).